# 1
Computed, not measured: VCrMo6 after structural relaxation at the PBE-GGA level of DFT.

```
VCrMo6
1.0
3.118 -4.394 0.000
3.118 4.394 0.000
0.000 0.000 4.400
V Cr Mo
1 1 6
Direct
0.000 0.000 0.000 V
0.500 0.500 0.000 Cr
0.000 0.500 0.000 Mo
0.250 0.750 0.500 Mo
0.251 0.251 0.500 Mo
0.500 0.000 0.000 Mo
0.749 0.749 0.500 Mo
0.750 0.250 0.500 Mo
```

Summary:
Calculated total energy, eV per atom: -10.496
ΔE to the lowest computed polymorph, kJ per mole of atoms: 0.0
Formation energy, meV per atom: -30.3
Space group: Cmmm (65)
Size of the total moment, μB per formula unit: 0.002

# 2
Computed, not measured: Ba2AlTePd after structural relaxation at the PBE-GGA level of DFT.

```
Ba2AlTePd
1.0
6.158 0.000 0.000
0.000 6.158 0.000
0.000 0.000 4.795
Ba Al Te Pd
2 1 1 1
Direct
0.000 0.500 0.000 Ba
0.500 0.000 0.000 Ba
0.000 0.000 0.500 Al
0.500 0.500 0.500 Te
0.000 0.000 0.000 Pd
```

Summary:
E_form (uncorrected), eV per atom: -0.78
Calculated total energy, eV per atom: -3.967
Space group: P4/mmm (123)
Size of the total moment, μB per formula unit: 0.000

# 3
Computed, not measured: PuSiH2 after structural relaxation at the PBE-GGA level of DFT.

```
PuSiH2
1.0
7.575 0.000 0.000
0.000 4.344 0.000
0.000 0.000 5.691
Pu Si H
4 4 8
Direct
0.189 0.250 0.143 Pu
0.311 0.750 0.643 Pu
0.689 0.250 0.357 Pu
0.811 0.750 0.857 Pu
0.032 0.250 0.621 Si
0.468 0.750 0.121 Si
0.532 0.250 0.879 Si
0.968 0.750 0.379 Si
0.083 0.518 0.835 H
0.083 0.982 0.835 H
0.417 0.018 0.335 H
0.417 0.482 0.335 H
0.583 0.518 0.665 H
0.583 0.982 0.665 H
0.917 0.018 0.165 H
0.917 0.482 0.165 H
```

Summary:
Calculated total energy, eV per atom: -6.901
ΔE to the lowest computed polymorph, kJ per mole of atoms: 0.0
Space group: Pnma (62)
Size of the total moment, μB per formula unit: 5.268

# 4
Computed, not measured: Tb2Nd3Mg after structural relaxation at the PBE-GGA level of DFT.

```
Tb2Nd3Mg
1.0
3.649 0.000 0.000
0.000 3.649 0.000
0.000 0.000 14.549
Tb Nd Mg
2 3 1
Direct
0.000 0.000 0.174 Tb
0.000 0.000 0.826 Tb
0.500 0.500 0.000 Nd
0.500 0.500 0.347 Nd
0.500 0.500 0.653 Nd
0.000 0.000 0.500 Mg
```

Summary:
Calculated total energy, eV per atom: -4.213
ΔE to the lowest computed polymorph, kJ per mole of atoms: 0.0
Formation energy, meV per atom: -20.3
Space group: P4/mmm (123)
Size of the total moment, μB per formula unit: 0.000

# 5
Computed, not measured: Zn2CuCl after structural relaxation at the PBE-GGA level of DFT.

```
Zn2CuCl
1.0
0.000 3.308 3.308
3.308 0.000 3.308
3.308 3.308 0.000
Zn Cu Cl
2 1 1
Direct
0.000 0.000 0.000 Zn
0.250 0.250 0.250 Zn
0.750 0.750 0.750 Cu
0.500 0.500 0.500 Cl
```

Summary:
E_form (uncorrected), eV per atom: 0.36
Calculated total energy, eV per atom: -1.767
ΔE to the lowest computed polymorph, kJ per mole of atoms: 44.3
Space group: F-43m (216)
Size of the total moment, μB per formula unit: 0.000

# 6
Computed, not measured: SmSi2NiIr after structural relaxation at the PBE-GGA level of DFT.

```
SmSi2NiIr
1.0
-2.017 2.017 5.021
2.017 -2.017 5.021
2.017 2.017 -5.021
Sm Si Ni Ir
1 2 1 1
Direct
0.000 0.000 0.000 Sm
0.377 0.377 0.000 Si
0.623 0.623 0.000 Si
0.250 0.750 0.500 Ni
0.750 0.250 0.500 Ir
```

Summary:
E_form (uncorrected), eV per atom: -0.91
Calculated total energy, eV per atom: -6.954
Space group: I-4m2 (119)
Size of the total moment, μB per formula unit: 0.396

# 7
Computed, not measured: Tm8Co3Cu2 after structural relaxation at the PBE-GGA level of DFT.

```
Tm8Co3Cu2
1.0
8.198 0.000 0.000
0.000 4.666 0.000
-2.824 0.000 7.722
Tm Co Cu
8 3 2
Direct
0.118 0.000 0.382 Tm
0.134 0.500 0.871 Tm
0.371 0.500 0.634 Tm
0.380 0.000 0.120 Tm
0.620 0.000 0.880 Tm
0.629 0.500 0.366 Tm
0.866 0.500 0.129 Tm
0.882 0.000 0.618 Tm
0.253 0.000 0.753 Co
0.500 0.500 0.000 Co
0.747 0.000 0.247 Co
0.248 0.500 0.252 Cu
0.752 0.500 0.748 Cu
```

Summary:
Calculated total energy, eV per atom: -5.142
Formation energy, meV per atom: -120.3
Space group: P2/m (10)
Size of the total moment, μB per formula unit: 0.000

# 8
Computed, not measured: Pr4NdTm after structural relaxation at the PBE-GGA level of DFT.

```
Pr4NdTm
1.0
5.973 -1.755 0.000
5.973 1.755 0.000
-5.805 0.000 10.220
Pr Nd Tm
4 1 1
Direct
0.186 0.186 0.341 Pr
0.191 0.191 0.847 Pr
0.809 0.809 0.153 Pr
0.814 0.814 0.659 Pr
0.000 0.000 0.500 Nd
0.000 0.000 0.000 Tm
```

Summary:
Calculated total energy, eV per atom: -4.554
ΔE to the lowest computed polymorph, kJ per mole of atoms: 14.9
Formation energy, meV per atom: 172.0
Space group: C2/m (12)
Size of the total moment, μB per formula unit: 0.000